{
  "formula": "CeTmAl2",
  "functional": "PBE",
  "state": "optimized geometry",
  "lattice": [[-1.217, -0.186, -4.025], [3.367, -3.192, -0.871], [-3.013, -3.471, 1.072]],
  "species": ["Ce", "Al", "Tm", "Al"],
  "fractional_positions": [[0.500, 0.500, 0.500], [0.000, 0.000, 0.500], [0.500, 0.000, 0.000], [0.000, 0.500, 0.000]],
  "volume_a3_per_cell": 94,
  "total_magnetization_mub_per_cell": 0.373,
  "e_form_ev_per_fu": -1.18,
  "dos_at_fermi_per_ev_fu": 6.2,
  "sg": "No. 123"
}